Compound: MnZnMo2
Source: the Alexandria database
Functional: PBE-GGA
Structure: optimized geometry

Calculated values
Volume ... 59 Å³/f.u.
DFT total energy ... -7.906 eV/atom
Formation energy ... 0.120 eV/atom

a b c (Å): 3.186 3.186 5.841
angles (deg): 90.00 90.00 90.00
Positions (direct):
Mn 0.000 0.000 0.000
Zn 0.500 0.500 0.766
Mo 0.000 0.000 0.499
Mo 0.500 0.500 0.256

=====

Compound: SrTm4Tl5
Source: the Alexandria database
Functional: PBE-GGA
Structure: optimized geometry

Calculated values
Volume ... 279 Å³/f.u.
DFT total energy ... -3.457 eV/atom
Formation energy ... -0.317 eV/atom

a b c (Å): 3.788 3.788 19.407
angles (deg): 90.00 90.00 90.00
Positions (direct):
Sr 0.000 0.000 0.000
Tm 0.000 0.000 0.211
Tm 0.000 0.000 0.404
Tm 0.000 0.000 0.596
Tm 0.000 0.000 0.789
Tl 0.500 0.500 0.117
Tl 0.500 0.500 0.309
Tl 0.500 0.500 0.500
Tl 0.500 0.500 0.691
Tl 0.500 0.500 0.883

=====

Compound: Zr3Ti4In4
Source: the Alexandria database
Functional: PBE-GGA
Structure: optimized geometry

Calculated values
Volume ... 234 Å³/f.u.
DFT total energy ... -6.244 eV/atom
Formation energy ... -0.046 eV/atom

a b c (Å): 9.243 9.243 9.243
angles (deg): 160.37 117.36 66.33
Positions (direct):
Zr 0.000 0.000 0.000
Zr 0.377 0.877 0.500
Zr 0.623 0.123 0.500
Ti 0.068 0.323 0.745
Ti 0.422 0.677 0.745
Ti 0.578 0.323 0.255
Ti 0.932 0.677 0.255
In 0.205 0.205 0.000
In 0.283 0.500 0.783
In 0.717 0.500 0.217
In 0.795 0.795 0.000

=====

Compound: Ca4HgPb2
Source: the Alexandria database
Functional: PBE-GGA
Structure: optimized geometry

Calculated values
Volume ... 263 Å³/f.u.
Distance to the lowest polymorph of the same formula ... 2.40 eV per formula unit
DFT total energy ... -2.465 eV/atom
Formation energy ... -0.219 eV/atom

a b c (Å): 5.785 5.785 15.719
angles (deg): 90.00 90.00 90.00
Positions (direct):
Ca 0.000 0.000 0.191
Ca 0.000 0.000 0.809
Ca 0.000 0.500 0.000
Ca 0.000 0.500 0.500
Ca 0.500 0.000 0.000
Ca 0.500 0.000 0.500
Ca 0.500 0.500 0.309
Ca 0.500 0.500 0.691
Hg 0.000 0.000 0.000
Hg 0.500 0.500 0.500
Pb 0.000 0.000 0.390
Pb 0.000 0.000 0.610
Pb 0.500 0.500 0.110
Pb 0.500 0.500 0.890

=====

Compound: AcPmRu
Source: the Alexandria database
Functional: PBE-GGA
Structure: optimized geometry

Calculated values
Volume ... 87 Å³/f.u.
Distance to the lowest polymorph of the same formula ... 0.09 eV per formula unit
DFT total energy ... -6.200 eV/atom
Formation energy ... -0.155 eV/atom

a b c (Å): 4.924 4.919 7.146
angles (deg): 90.00 90.08 90.00
Positions (direct):
Ac 0.250 0.250 0.118
Ac 0.750 0.750 0.882
Pm 0.250 0.750 0.500
Pm 0.750 0.250 0.500
Ru 0.251 0.250 0.733
Ru 0.749 0.750 0.267

=====

Compound: CuPbAu2
Source: the Alexandria database
Functional: PBE-GGA
Structure: optimized geometry

Calculated values
Volume ... 79 Å³/f.u.
DFT total energy ... -3.475 eV/atom
Formation energy ... 0.115 eV/atom

a b c (Å): 6.797 6.797 6.797
angles (deg): 90.00 90.00 90.00
Positions (direct):
Cu 0.000 0.000 0.000
Cu 0.000 0.500 0.500
Cu 0.500 0.000 0.500
Cu 0.500 0.500 0.000
Pb 0.250 0.250 0.250
Pb 0.250 0.750 0.750
Pb 0.750 0.250 0.750
Pb 0.750 0.750 0.250
Au 0.000 0.000 0.500
Au 0.000 0.500 0.000
Au 0.250 0.250 0.750
Au 0.250 0.750 0.250
Au 0.500 0.000 0.000
Au 0.500 0.500 0.500
Au 0.750 0.250 0.250
Au 0.750 0.750 0.750

=====

Compound: La2BrCl
Source: the Alexandria database
Functional: PBE-GGA
Structure: optimized geometry

Calculated values
Formation energy (no corrections) ... -1159 meV/atom
Volume ... 119 Å³/f.u.
Distance to the lowest polymorph of the same formula ... 1.05 eV per formula unit
DFT total energy ... -4.503 eV/atom

a b c (Å): 3.682 5.116 12.674
angles (deg): 90.00 90.00 90.00
Positions (direct):
La 0.000 0.000 0.000
La 0.000 0.500 0.232
La 0.500 0.000 0.732
La 0.500 0.500 0.500
Br 0.000 0.500 0.716
Br 0.500 0.000 0.216
Cl 0.000 0.000 0.527
Cl 0.500 0.500 0.027

=====

Compound: PmNd4Th3N8
Source: the Alexandria database
Functional: PBE-GGA
Structure: optimized geometry

Calculated values
Formation energy (no corrections) ... -1509 meV/atom
Volume ... 276 Å³/f.u.
DFT total energy ... -8.552 eV/atom

a b c (Å): 7.300 7.300 7.300
angles (deg): 60.10 60.10 60.10
Positions (direct):
Pm 0.000 0.000 0.000
Nd 0.000 0.000 0.500
Nd 0.000 0.500 0.000
Nd 0.500 0.000 0.000
Nd 0.500 0.500 0.500
Th 0.000 0.500 0.500
Th 0.500 0.000 0.500
Th 0.500 0.500 0.000
N 0.249 0.249 0.740
N 0.249 0.740 0.249
N 0.255 0.255 0.255
N 0.260 0.751 0.751
N 0.740 0.249 0.249
N 0.745 0.745 0.745
N 0.751 0.260 0.751
N 0.751 0.751 0.260

=====

Copy entry 5 word for word.
Compound: AcPmRu
Source: the Alexandria database
Functional: PBE-GGA
Structure: optimized geometry

Calculated values
Volume ... 87 Å³/f.u.
Distance to the lowest polymorph of the same formula ... 0.09 eV per formula unit
DFT total energy ... -6.200 eV/atom
Formation energy ... -0.155 eV/atom

a b c (Å): 4.924 4.919 7.146
angles (deg): 90.00 90.08 90.00
Positions (direct):
Ac 0.250 0.250 0.118
Ac 0.750 0.750 0.882
Pm 0.250 0.750 0.500
Pm 0.750 0.250 0.500
Ru 0.251 0.250 0.733
Ru 0.749 0.750 0.267

=====

- DFT total energy of number 4 (Ca4HgPb2)?
  -2.465 eV/atom

=====

- Number 5 is which compound?
  AcPmRu

=====

- Which of these has the highest DFT total energy?
  Ca4HgPb2